Rb2ZnAg2 | PBE | optimized geometry

a = 6.907 Å, b = 6.907 Å, c = 7.952 Å
α = 90.00°, β = 90.00°, γ = 90.00°
Space group I4/mmm (No. 139)
Asymmetric unit:
Rb1 0.000 0.500 0.250
Zn1 0.000 0.000 0.000
Ag1 0.000 0.000 0.328



Rb2Zn2Ag | PBE | optimized geometry

a = 3.883 Å, b = 3.883 Å, c = 22.239 Å
α = 90.00°, β = 90.00°, γ = 90.00°
Space group I4/mmm (No. 139)
Asymmetric unit:
Rb1 0.000 0.000 0.105
Zn1 0.000 0.500 0.250
Ag1 0.000 0.000 0.500



RbZn2Ag3 | PBE | optimized geometry

a = 11.635 Å, b = 8.712 Å, c = 5.545 Å
α = 90.00°, β = 90.00°, γ = 90.00°
Space group Cmcm (No. 63)
Asymmetric unit:
Rb1 0.000 0.154 0.250
Zn1 0.196 0.500 0.000
Ag1 0.000 0.424 0.750
Ag2 0.208 0.234 0.750



RbZn2Ag4 | PBE | optimized geometry

a = 5.719 Å, b = 5.719 Å, c = 14.662 Å
α = 90.00°, β = 90.00°, γ = 90.00°
Space group I4/mmm (No. 139)
Asymmetric unit:
Rb1 0.000 0.000 0.000
Zn1 0.000 0.000 0.419
Ag1 0.000 0.000 0.250
Ag2 0.000 0.500 0.000



Rb2Zn2Ag | PBE | optimized geometry

a = 7.413 Å, b = 7.413 Å, c = 5.822 Å
α = 90.00°, β = 90.00°, γ = 90.00°
Space group P4/mbm (No. 127)
Asymmetric unit:
Rb1 0.185 0.315 0.000
Zn1 0.129 0.629 0.500
Ag1 0.000 0.000 0.500



RbZnAg3 | PBE | optimized geometry

a = 17.280 Å, b = 8.183 Å, c = 7.728 Å
α = 90.00°, β = 108.12°, γ = 90.00°
Space group C2/c (No. 15)
Asymmetric unit:
Rb1 0.000 0.067 0.250
Rb2 0.000 0.426 0.750
Zn1 0.182 0.274 0.357
Ag1 0.164 0.182 0.675
Ag2 0.189 0.139 0.054
Ag3 0.193 0.491 0.104



Rb2ZnAg | PBE | optimized geometry

a = 4.381 Å, b = 4.381 Å, c = 8.609 Å
α = 90.00°, β = 90.00°, γ = 90.00°
Space group P4/mmm (No. 123)
Asymmetric unit:
Rb1 0.000 0.000 0.239
Zn1 0.500 0.500 0.500
Ag1 0.500 0.500 0.000



RbZnAg3 | PBE | optimized geometry

a = 5.139 Å, b = 5.139 Å, c = 5.139 Å
α = 90.00°, β = 90.00°, γ = 90.00°
Space group Pm-3m (No. 221)
Asymmetric unit:
Rb1 0.000 0.000 0.000
Zn1 0.500 0.500 0.500
Ag1 0.000 0.500 0.500



RbZnAg | PBE | optimized geometry

a = 3.719 Å, b = 3.719 Å, c = 12.646 Å
α = 90.00°, β = 90.00°, γ = 90.00°
Space group I4mm (No. 107)
Asymmetric unit:
Rb1 0.000 0.000 0.000
Zn1 0.000 0.000 0.275
Ag1 0.000 0.000 0.725



Rb2Zn3Ag2 | PBE | optimized geometry

a = 13.111 Å, b = 4.553 Å, c = 8.233 Å
α = 90.00°, β = 125.81°, γ = 90.00°
Space group C2/m (No. 12)
Asymmetric unit:
Rb1 0.135 0.000 0.261
Zn1 0.000 0.500 0.500
Zn2 0.180 0.500 0.914
Ag1 0.116 0.000 0.701



Rb2ZnAg2 | PBE | optimized geometry

a = 7.537 Å, b = 7.537 Å, c = 5.609 Å
α = 90.00°, β = 90.00°, γ = 90.00°
Space group P4/mbm (No. 127)
Asymmetric unit:
Rb1 0.178 0.322 0.000
Zn1 0.000 0.000 0.500
Ag1 0.135 0.635 0.500



RbZn2Ag2 | PBE | optimized geometry

a = 8.480 Å, b = 8.480 Å, c = 2.982 Å
α = 90.00°, β = 90.00°, γ = 90.00°
Space group P4/mbm (No. 127)
Asymmetric unit:
Rb1 0.000 0.000 0.000
Zn1 0.114 0.386 0.000
Ag1 0.174 0.674 0.500



Rb2ZnAg | PBE | optimized geometry

a = 8.156 Å, b = 4.691 Å, c = 9.760 Å
α = 90.00°, β = 105.11°, γ = 90.00°
Space group Cm (No. 8)
Asymmetric unit:
Rb1 0.000 0.000 0.000
Rb2 0.164 0.000 0.530
Zn1 0.249 0.500 0.265
Ag1 0.416 0.000 0.265



RbZnAg2 | PBE | optimized geometry

a = 4.666 Å, b = 7.749 Å, c = 6.656 Å
α = 90.00°, β = 90.00°, γ = 90.00°
Space group Pmmn (No. 59, origin choice 2)
Asymmetric unit:
Rb1 0.250 0.250 0.102
Zn1 0.250 0.750 0.421
Ag1 0.250 0.070 0.586



RbZnAg3 | PBE | optimized geometry

a = 6.274 Å, b = 6.274 Å, c = 6.274 Å
α = 90.00°, β = 90.00°, γ = 90.00°
Space group Pm-3m (No. 221)
Asymmetric unit:
Rb1 0.000 0.000 0.000
Zn1 0.500 0.500 0.500
Ag1 0.000 0.000 0.500



RbZn2Ag2 | PBE | optimized geometry

a = 4.812 Å, b = 4.812 Å, c = 10.800 Å
α = 90.00°, β = 90.00°, γ = 90.00°
Space group I4/mmm (No. 139)
Asymmetric unit:
Rb1 0.000 0.000 0.000
Zn1 0.000 0.500 0.250
Ag1 0.000 0.000 0.366



RbZn3Ag3 | PBE | optimized geometry

a = 7.321 Å, b = 7.321 Å, c = 7.321 Å
α = 90.00°, β = 90.00°, γ = 90.00°
Space group Pm-3n (No. 223)
Asymmetric unit:
Rb1 0.000 0.000 0.000
Zn1 0.000 0.250 0.500
Ag1 0.000 0.500 0.250



RbZn2Ag2 | PBE | optimized geometry

a = 4.795 Å, b = 4.795 Å, c = 10.610 Å
α = 90.00°, β = 90.00°, γ = 90.00°
Space group I4/mmm (No. 139)
Asymmetric unit:
Rb1 0.000 0.000 0.000
Zn1 0.000 0.000 0.372
Ag1 0.000 0.500 0.250



RbZnAg2 | PBE | optimized geometry

a = 4.7201 Å, b = 4.7201 Å, c = 18.7051 Å
α = 90.00°, β = 90.00°, γ = 120.00°
Space group R-3m (No. 166, hexagonal axes)
Asymmetric unit:
Rb1 0.0000 0.0000 0.0000
Zn1 0.0000 0.0000 0.5000
Ag1 0.0000 0.0000 0.1820



RbZrZnAg2 | PBE | optimized geometry

a = 5.487 Å, b = 5.487 Å, c = 6.975 Å
α = 90.00°, β = 90.00°, γ = 90.00°
Space group P4/mmm (No. 123)
Asymmetric unit:
Rb1 0.000 0.000 0.000
Zr1 0.000 0.000 0.500
Zn1 0.500 0.500 0.000
Ag1 0.000 0.500 0.500



For each record above, in turn, the calculated DFT formation energy values are 0.7 0.8 -0.2 5.3 0.8 0.5 0.7 1.0 0.3 0.0 0.8 0.5 0.1 0.0 6.2 0.4 1.4 0.4 0.0 5.5 eV/f.u..
For each record above, in turn, the calculated E values are -16.36 -12.98 -49.21 -19.20 -13.02 -82.72 -5.40 -9.84 -9.52 -22.93 -16.23 -17.36 -11.89 -15.90 -4.60 -17.68 -23.80 -17.69 -23.84 -11.00 eV per cell.